# 1
{
  "formula": "YSb4Ir",
  "functional": "GGA-PBE",
  "state": "optimized geometry",
  "crystal_system": "cubic",
  "lattice": [[1.634, 0.136, 5.814], [-3.036, -3.275, 4.068], [2.590, -4.838, 2.523]],
  "species": ["Sb", "Sb", "Ir", "Sb", "Sb", "Y"],
  "frac_coords": [[0.876, 0.375, 0.375], [0.375, 0.375, 0.375], [0.000, 0.000, 0.000], [0.375, 0.375, 0.876], [0.375, 0.876, 0.375], [0.750, 0.750, 0.750]]
}

# 2
{
  "formula": "YSbIr",
  "functional": "GGA-PBE",
  "state": "optimized geometry",
  "crystal_system": "hexagonal",
  "lattice": [[4.626, 0.000, 0.000], [-2.313, 4.006, 0.000], [0.000, 0.000, 3.471]],
  "species": ["Sb", "Y", "Ir"],
  "frac_coords": [[0.667, 0.333, 0.167], [0.333, 0.667, 0.667], [0.000, 0.000, 0.167]]
}

# 3
{
  "formula": "Y2Sb2Ir",
  "functional": "GGA-PBE",
  "state": "optimized geometry",
  "crystal_system": "tetragonal",
  "lattice": [[-6.138, 3.312, -1.236], [-2.659, -2.691, 5.988], [1.556, 3.774, 2.387]],
  "species": ["Y", "Y", "Ir", "Y", "Sb", "Y", "Sb", "Sb", "Sb", "Ir"],
  "frac_coords": [[0.331, 0.169, 0.500], [0.831, 0.331, 0.500], [0.500, 0.500, 0.000], [0.169, 0.669, 0.500], [0.353, 0.853, 0.000], [0.669, 0.831, 0.500], [0.853, 0.647, 0.000], [0.147, 0.353, 0.000], [0.647, 0.147, 0.000], [0.000, 0.000, 0.000]]
}

# 4
{
  "formula": "YSbIr4",
  "functional": "GGA-PBE",
  "state": "optimized geometry",
  "crystal_system": "cubic",
  "lattice": [[0.000, 3.784, 3.784], [3.784, 0.000, 3.784], [3.784, 3.784, 0.000]],
  "species": ["Y", "Ir", "Sb", "Ir", "Ir", "Ir"],
  "frac_coords": [[0.000, 0.000, 0.000], [0.874, 0.375, 0.375], [0.750, 0.750, 0.750], [0.375, 0.874, 0.375], [0.375, 0.375, 0.375], [0.375, 0.375, 0.874]]
}

In eV/atom, the formation energy from raw total energies values for the records above are, in order, 0.447 -0.762 -0.680 -0.275.